First-principles (PBE) data for an optimized crystal structure of HoCoNi2Ge4, as listed in Alexandria.

Calculated values
As for the calculated formation energy: -0.32 eV per atom.

Unit cell a=8.8209 b=8.8209 c=8.8209 alpha=26.70 beta=26.70 gamma=26.70
Positions (direct):
1 Ho 0.0000 0.0000 0.0000
2 Co 0.5000 0.5000 0.5000
3 Ni 0.2346 0.2346 0.2346
4 Ni 0.7654 0.7654 0.7654
5 Ge 0.1304 0.1304 0.1304
6 Ge 0.3999 0.3999 0.3999
7 Ge 0.6001 0.6001 0.6001
8 Ge 0.8696 0.8696 0.8696